The following is a DFT calculation (PBE) of an optimized crystal structure of LaDy2Zr.

Calculated values
- VASP energy: -5.444 eV/atom
- N(E_F): 31.34 states/eV per cell
- Energy of formation: 87 kJ/mol of formula units
- Spin magnetization: 4.072 μB per cell

Unit cell a=7.848 b=7.848 c=7.848 alpha=90.00 beta=90.00 gamma=90.00
Space group Fm-3m (No. 225)
Symmetry-distinct sites (fractional):
La (0.000, 0.000, 0.000) [4 per cell]
Dy (0.250, 0.250, 0.250) [8 per cell]
Zr (0.000, 0.000, 0.500) [4 per cell]